*1*
Here is crystalline NbCoS2 at its relaxed geometry from Alexandria via LeMat-Bulk. Energies are from GGA-PBE.

a = 4.2597 Å, b = 4.2597 Å, c = 4.2597 Å
α = 60.00°, β = 60.00°, γ = 60.00°
Sites, in units of the cell vectors:
S1 0.7500 0.7500 0.7500
Co1 0.0000 0.0000 0.0000
Nb1 0.5000 0.5000 0.5000
S2 0.2500 0.2500 0.2500

The magnetic moment comes out at 0.0 μB per formula unit. The calculation puts the density of states at the Fermi level at 3.32 states/eV per cell.



*2*
Here is crystalline NbCoS2 at its relaxed geometry from Alexandria via LeMat-Bulk. Energies are from GGA-PBE.

a = 7.8203 Å, b = 7.8203 Å, c = 7.8203 Å
α = 23.76°, β = 23.76°, γ = 23.76°
Site moments in Bohr magnetons follow the coordinates.
Sites, in units of the cell vectors:
Co1 0.0000 0.0000 0.0000  1.64
S1 0.9059 0.9059 0.9059  0.02
S2 0.0941 0.0941 0.0941  0.02
Nb1 0.5000 0.5000 0.5000  -0.06

The magnetic moment comes out at 1.6 μB per formula unit. The calculation puts the density of states at the Fermi level at 3.70 states/eV per cell.



Most stable pick: *2*. Distance to second place: 0.192 eV/atom.



*1*
Here is crystalline Nb2CoS4 at its relaxed geometry from Alexandria via LeMat-Bulk. Energies are from GGA-PBE.

a = 3.2969 Å, b = 14.0037 Å, c = 12.4855 Å
α = 90.00°, β = 90.00°, γ = 90.00°
Site moments in Bohr magnetons follow the coordinates.
Sites, in units of the cell vectors:
Nb1 0.7500 0.9980 0.8948  -0.09
Nb2 0.7500 0.4980 0.6052  -0.09
Nb3 0.7500 0.9393 0.4348  0.17
S1 0.2500 0.1170 0.9563  -0.01
Co1 0.7500 0.9288 0.6826  0.92
Nb4 0.2500 0.5607 0.9348  0.17
Co2 0.7500 0.4288 0.8174  0.92
S2 0.2500 0.6170 0.5437  -0.01
Nb5 0.2500 0.0607 0.5652  0.17
Nb6 0.2500 0.5020 0.3948  -0.09
S3 0.7500 0.5904 0.7914  0.03
Nb7 0.2500 0.0020 0.1052  -0.09
S4 0.7500 0.6145 0.3047  0.01
S5 0.2500 0.8855 0.8047  0.01
S6 0.7500 0.8830 0.0437  -0.01
S7 0.7500 0.3830 0.4563  -0.01
S8 0.7500 0.1274 0.4323  0.03
Co3 0.2500 0.0712 0.3174  0.92
S9 0.7500 0.0904 0.7086  0.03
S10 0.2500 0.3855 0.6953  0.01
S11 0.7500 0.1145 0.1953  0.01
S12 0.7500 0.6274 0.0677  0.03
S13 0.2500 0.9096 0.2914  0.03
S14 0.2500 0.3726 0.9323  0.03
S15 0.2500 0.4096 0.2086  0.03
S16 0.2500 0.8726 0.5677  0.03
Co4 0.2500 0.5712 0.1826  0.92
Nb8 0.7500 0.4393 0.0652  0.17

The magnetic moment comes out at 1.1 μB per formula unit. The calculation puts the density of states at the Fermi level at 17.42 states/eV per cell.



*2*
Here is crystalline Nb2CoS4 at its relaxed geometry from Alexandria via LeMat-Bulk. Energies are from GGA-PBE.

a = 7.0456 Å, b = 7.0456 Å, c = 7.0549 Å
α = 59.99°, β = 59.99°, γ = 89.92°
Site moments in Bohr magnetons follow the coordinates.
Sites, in units of the cell vectors:
S1 0.2481 0.2520 0.0030  0.01
S2 0.2480 0.2519 0.4970  0.01
S3 0.7519 0.7480 0.9970  0.01
S4 0.7520 0.7481 0.5030  0.01
Co1 0.1250 0.3750 0.2500  0.58
S5 0.2489 0.7449 0.0029  0.01
Nb1 0.5000 0.5000 0.5000  -0.04
Co2 0.8750 0.6250 0.7500  0.58
Nb2 0.5000 0.0000 0.5000  -0.04
Nb3 0.0000 0.0000 0.0000  -0.04
S6 0.2449 0.7489 0.5029  0.01
S7 0.7551 0.2511 0.4971  0.01
S8 0.7511 0.2551 0.9971  0.01
Nb4 0.5000 0.0000 0.0000  -0.04

The magnetic moment comes out at 0.6 μB per formula unit. The calculation puts the density of states at the Fermi level at 13.41 states/eV per cell.



Most stable pick: *2*. Distance to second place: 0.055 eV/atom.



*1*
Here is crystalline Nb2CoS4 at its relaxed geometry from Alexandria via LeMat-Bulk. Energies are from GGA-PBE.

a = 3.3177 Å, b = 10.0366 Å, c = 13.3612 Å
α = 90.00°, β = 90.00°, γ = 90.00°
Site moments in Bohr magnetons follow the coordinates.
Sites, in units of the cell vectors:
Nb1 0.2500 0.9894 0.0950  -0.01
Co1 0.7500 0.7728 0.1814  0.83
S1 0.2500 0.1984 0.9860  0.01
Co2 0.2500 0.2272 0.8186  0.83
Nb2 0.7500 0.3604 0.0944  0.01
Nb3 0.7500 0.5106 0.5950  -0.01
S2 0.7500 0.4487 0.9145  0.01
Co3 0.2500 0.7272 0.6814  0.83
S3 0.7500 0.9487 0.5855  0.01
Co4 0.7500 0.2728 0.3186  0.83
S4 0.2500 0.8676 0.8173  0.01
S5 0.2500 0.3676 0.6827  0.01
Nb4 0.7500 0.8604 0.4056  0.01
S6 0.2500 0.6984 0.5140  0.01
S7 0.2500 0.0513 0.4145  0.01
S8 0.7500 0.6264 0.7558  0.03
Nb5 0.2500 0.4894 0.4050  -0.01
S9 0.7500 0.1264 0.7442  0.03
S10 0.7500 0.6324 0.3173  0.01
Nb6 0.7500 0.0106 0.9050  -0.01
S11 0.2500 0.5513 0.0855  0.01
S12 0.7500 0.8016 0.0140  0.01
Nb7 0.2500 0.6396 0.9056  0.01
S13 0.2500 0.3736 0.2442  0.03
Nb8 0.2500 0.1396 0.5944  0.01
S14 0.7500 0.1324 0.1827  0.01
S15 0.7500 0.3016 0.4860  0.01
S16 0.2500 0.8736 0.2558  0.03

The magnetic moment comes out at 0.9 μB per formula unit. The calculation puts the density of states at the Fermi level at 18.40 states/eV per cell.



*2*
Here is crystalline Nb2CoS4 at its relaxed geometry from Alexandria via LeMat-Bulk. Energies are from GGA-PBE.

a = 3.3030 Å, b = 3.3030 Å, c = 13.6027 Å
α = 90.00°, β = 90.00°, γ = 120.00°
Sites, in units of the cell vectors:
Nb1 0.6667 0.3333 0.7328
S1 0.6667 0.3333 0.9110
S2 0.3333 0.6667 0.6213
S3 0.6667 0.3333 0.3787
Co1 0.0000 0.0000 0.0000
Nb2 0.3333 0.6667 0.2672
S4 0.3333 0.6667 0.0890

The magnetic moment comes out at 0.0 μB per formula unit. The calculation puts the density of states at the Fermi level at 6.42 states/eV per cell.



Most stable pick: *1*. Distance to second place: 0.089 eV/atom.



*1*
Here is crystalline Nb3CoS6 at its relaxed geometry from Alexandria via LeMat-Bulk. Energies are from GGA-PBE.

a = 5.8100 Å, b = 5.8100 Å, c = 11.7803 Å
α = 90.00°, β = 90.00°, γ = 120.00°
Site moments in Bohr magnetons follow the coordinates.
Sites, in units of the cell vectors:
S1 0.6682 0.0030 0.8667  0.03
S2 0.3348 0.0030 0.6333  0.03
S3 0.6652 0.6682 0.3667  0.03
S4 0.6652 0.9970 0.1333  0.03
Nb1 0.3333 0.6667 0.9971  0.06
Nb2 0.3333 0.6667 0.5029  0.06
Nb3 0.6667 0.3333 0.4971  0.06
Nb4 0.0000 0.0000 0.0000  0.06
Co1 0.6667 0.3333 0.7500  1.39
S5 0.6682 0.6652 0.6333  0.03
S6 0.0030 0.6682 0.1333  0.03
S7 0.0030 0.3348 0.3667  0.03
Nb5 0.6667 0.3333 0.0029  0.06
Nb6 0.0000 0.0000 0.5000  0.06
S8 0.3318 0.3348 0.1333  0.03
Co2 0.3333 0.6667 0.2500  1.39
S9 0.9970 0.6652 0.8667  0.03
S10 0.9970 0.3318 0.6333  0.03
S11 0.3318 0.9970 0.3667  0.03
S12 0.3348 0.3318 0.8667  0.03

The magnetic moment comes out at 1.9 μB per formula unit. The calculation puts the density of states at the Fermi level at 11.04 states/eV per cell.



*2*
Here is crystalline Nb3CoS6 at its relaxed geometry from Alexandria via LeMat-Bulk. Energies are from GGA-PBE.

a = 5.8806 Å, b = 7.7951 Å, c = 7.7951 Å
α = 101.78°, β = 90.00°, γ = 90.00°
Sites, in units of the cell vectors:
S1 0.6607 0.6357 0.6967
S2 0.7198 0.9019 0.4686
S3 0.1976 0.7707 0.2293
S4 0.2198 0.4686 0.9019
Nb1 0.9571 0.7353 0.9669
S5 0.7198 0.5314 0.0981
S6 0.1507 0.0341 0.9659
S7 0.6607 0.3033 0.3643
Nb2 0.4571 0.9669 0.7353
S8 0.1607 0.3643 0.3033
S9 0.6507 0.9659 0.0341
S10 0.2198 0.0981 0.5314
Nb3 0.9571 0.0331 0.2647
Nb4 0.8621 0.6014 0.3986
Co1 0.5997 0.7883 0.2117
Co2 0.0997 0.2117 0.7883
Nb5 0.4571 0.2647 0.0331
S11 0.1607 0.6967 0.6357
Nb6 0.3621 0.3986 0.6014
S12 0.6976 0.2293 0.7707

The magnetic moment comes out at 0.0 μB per formula unit. The calculation puts the density of states at the Fermi level at 5.51 states/eV per cell.



Most stable pick: *1*. Distance to second place: 0.248 eV/atom.



*1*
Here is crystalline NbCo3S at its relaxed geometry from Alexandria via LeMat-Bulk. Energies are from GGA-PBE.

a = 4.5086 Å, b = 4.5086 Å, c = 4.5086 Å
α = 90.00°, β = 90.00°, γ = 90.00°
Site moments in Bohr magnetons follow the coordinates.
Sites, in units of the cell vectors:
S1 0.5000 0.5000 0.5000  0.11
Nb1 0.0000 0.0000 0.0000  -0.39
Co1 0.0000 0.5000 0.0000  0.88
Co2 0.0000 0.0000 0.5000  0.94
Co3 0.5000 0.0000 0.0000  0.63

The magnetic moment comes out at 2.3 μB per formula unit. The calculation puts the density of states at the Fermi level at 5.69 states/eV per cell.



*2*
Here is crystalline NbCo3S at its relaxed geometry from Alexandria via LeMat-Bulk. Energies are from GGA-PBE.

a = 4.0963 Å, b = 4.0963 Å, c = 4.0963 Å
α = 90.00°, β = 90.00°, γ = 90.00°
Site moments in Bohr magnetons follow the coordinates.
Sites, in units of the cell vectors:
Co1 0.5000 0.0000 0.0000  1.12
Co2 0.0000 0.0000 0.5000  0.68
S1 0.0000 0.0000 0.0000  0.07
Nb1 0.5000 0.5000 0.5000  0.88
Co3 0.0000 0.5000 0.0000  0.88

The magnetic moment comes out at 3.7 μB per formula unit. The calculation puts the density of states at the Fermi level at 8.89 states/eV per cell.



Most stable pick: *2*. Distance to second place: 1.343 eV/atom.